A plane-wave DFT calculation with PBE was carried out for a relaxed structure of Dy2SiNi.

abc: 3.437 3.437 9.355
angles: 79.41 79.41 60.00
Element x y z (fractional)
Ni: 0.000 0.000 0.000
Dy: 0.091 0.091 0.726
Si: 0.500 0.500 0.500
Dy: 0.909 0.909 0.274

## Properties
ΔE_f (raw) ... 1.028 eV per formula unit
Density of states at the Fermi level ... 2.6 states/eV/cell
Space group ... R-3m
ΔE to the lowest computed polymorph ... 897.4 meV/atom